The following is a DFT calculation (GGA-PBE) of an optimized crystal structure of TiIN. Values from VASP.

SG: Pmmn (59)
E_form (uncorrected) (eV per atom): -1.1452
Size of the total moment (μB per cell): 0.00
Theoretical density (g cm⁻³): 4.542

Quantum ESPRESSO input file:
```
&SYSTEM
  ibrav = 0, nat = 6, ntyp = 3
/
ATOMIC_SPECIES
N 14.01 N.upf
Ti 47.87 Ti.upf
I 126.90 I.upf
CELL_PARAMETERS angstrom
3.5363 0.0000 0.0000
0.0000 3.9816 0.0000
0.0000 0.0000 9.8033
ATOMIC_POSITIONS angstrom
N 1.7681 1.9908 0.3239
N 0.0000 0.0000 9.4793
Ti 0.0000 1.9908 9.1171
Ti 1.7681 0.0000 0.6862
I 1.7681 1.9908 6.9018
I 0.0000 0.0000 2.9015
```